A plane-wave DFT calculation with PBEsol was carried out for an optimized crystal structure of OsBrO3.

```
OsBrO3
1.0
3.876 0.000 0.000
0.000 3.876 0.000
0.000 0.000 3.876
Os Br O
1 1 3
Direct
0.000 0.000 0.000
0.500 0.500 0.500
0.000 0.000 0.500
0.000 0.500 0.000
0.500 0.000 0.000
```

Formation energy from raw total energies (eV/atom): -0.2893
Electronic total energy (eV/atom): -6.26



A plane-wave DFT calculation with PBEsol was carried out for an optimized crystal structure of SrOsAu3.

```
SrOsAu3
1.0
5.364 0.000 0.000
0.000 5.364 0.000
0.000 0.000 5.364
Sr Os Au
1 1 3
Direct
0.000 0.000 0.000
0.500 0.500 0.500
0.000 0.000 0.500
0.000 0.500 0.000
0.500 0.000 0.000
```

Electronic total energy (eV/atom): -2.98
Energy relative to the elements (eV per atom): 2.189